Computed, not measured: a geometry-optimized AlInFeF6 structure at the PBE+U level of DFT.

The value obtained for the total moment is 0.446 μB/atom. The uncorrected energy is -5.37 eV per atom.

It has space group C2 (No. 5), with a = 5.3528 Å, b = 9.2812 Å, c = 5.9335 Å, α = 90.00°, β = 90.05° and γ = 90.00°. The distinct sites, in fractional coordinates, are Al at (0.0000, 0.0000, 0.0000), In at (0.0000, 0.3321, 0.5000), Fe at (0.0000, 0.6665, 0.0000), F at (0.1192, 0.8510, 0.8251), F at (0.1597, 0.1335, 0.8229) and F at (0.2145, 0.5131, 0.8271).